VASP calculation (PBE-GGA) on crystalline TmFeB14 at its relaxed geometry.

```
data_TmFeB14
_symmetry_space_group_name_H-M 'I m m a'
_symmetry_Int_Tables_number 74
_symmetry_space_group_name_Hall '-I 2b 2'
_cell_length_a 5.8394
_cell_length_b 10.5284
_cell_length_c 8.2295
_cell_angle_alpha 90.00
_cell_angle_beta 90.00
_cell_angle_gamma 90.00
loop_
_atom_site_label
_atom_site_type_symbol
_atom_site_fract_x
_atom_site_fract_y
_atom_site_fract_z
_atom_site_occupancy
Tm1 Tm 0.0000 0.2500 0.1326 1
Fe1 Fe 0.2500 0.2500 0.7500 1
B1 B 0.0000 0.0884 0.6696 1
B2 B 0.0000 0.1372 0.8717 1
B3 B 0.0000 0.1671 0.4654 1
B4 B 0.1607 0.0609 0.3381 1
B5 B 0.2481 0.0802 0.5467 1
```

# TmFe4B4 PBE-GGA optimized geometry
# Offset from the most stable computed form, meV/atom: 0.0
data_TmFe4B4
_symmetry_space_group_name_H-M 'P 42/n'
_symmetry_Int_Tables_number 86
_cell_length_a 6.8992
_cell_length_b 6.8992
_cell_length_c 3.8248
_cell_angle_alpha 90.00
_cell_angle_beta 90.00
_cell_angle_gamma 90.00
loop_
_symmetry_equiv_pos_as_xyz
'x,y,z'
'-x,-y,-z'
'-y,x+1/2,z+1/2'
'y,-x+1/2,-z+1/2'
'-x+1/2,-y+1/2,z'
'x+1/2,y+1/2,-z'
'y+1/2,-x,z+1/2'
'-y+1/2,x,-z+1/2'
loop_
_atom_site_label
_atom_site_type_symbol
_atom_site_fract_x
_atom_site_fract_y
_atom_site_fract_z
_atom_site_occupancy
Tm1 Tm 0.2500 0.2500 0.2500 1
Fe1 Fe 0.1180 0.6339 0.1392 1
B1 B 0.0520 0.9173 0.1425 1

VASP calculation (PBE-GGA) on crystalline UFe4B at its relaxed geometry.

```
data_UFe4B
_symmetry_space_group_name_H-M 'P 6/m m m'
_symmetry_Int_Tables_number 191
_symmetry_space_group_name_Hall '-P 6 2'
_cell_length_a 4.9191
_cell_length_b 4.9191
_cell_length_c 7.1102
_cell_angle_alpha 90.00
_cell_angle_beta 90.00
_cell_angle_gamma 120.00
loop_
_atom_site_label
_atom_site_type_symbol
_atom_site_fract_x
_atom_site_fract_y
_atom_site_fract_z
_atom_site_occupancy
U1 U 0.0000 0.0000 0.0000 1
U2 U 0.0000 0.0000 0.5000 1
Fe1 Fe 0.0000 0.5000 0.2123 1
Fe2 Fe 0.3333 0.6667 0.5000 1
B1 B 0.3333 0.6667 0.0000 1
```

VASP calculation (PBE-GGA) on crystalline U3FeB7 at its relaxed geometry.

```
data_U3FeB7
_symmetry_space_group_name_H-M 'C m c m'
_symmetry_Int_Tables_number 63
_symmetry_space_group_name_Hall '-C 2c 2'
_cell_length_a 3.2432
_cell_length_b 15.7635
_cell_length_c 9.3203
_cell_angle_alpha 90.00
_cell_angle_beta 90.00
_cell_angle_gamma 90.00
loop_
_atom_site_label
_atom_site_type_symbol
_atom_site_fract_x
_atom_site_fract_y
_atom_site_fract_z
_atom_site_occupancy
U1 U 0.0000 0.1075 0.0675 1
U2 U 0.0000 0.2523 0.7500 1
Fe1 Fe 0.0000 0.0579 0.7500 1
B1 B 0.0000 0.2729 0.0319 1
B2 B 0.0000 0.3664 0.1526 1
B3 B 0.0000 0.4660 0.7500 1
B4 B 0.0000 0.4759 0.0929 1
```

Number 1: DFT total energy -435.54 eV for the cell shown. Number 2: DFT total energy -138.88 eV for the cell shown. Number 3: DFT total energy -105.93 eV for the cell shown. Number 4: DFT total energy -373.01 eV for the cell shown.